A plane-wave DFT calculation with PBE-GGA was carried out for a relaxed TlCu2Br crystal.

Summary:
- energy above the lowest structure with this stoichiometry (meV per atom) = 215
- M_tot (μB per formula unit) = 0.00
- energy relative to the elements, uncorrected (eV/atom) = 0.263
- raw total energy (eV/atom) = -2.79

CIF file:
```
data_TlCu2Br
_chemical_formula_sum 'Tl2 Cu4 Br2'
_space_group_name_H-M_alt 'C m m m'
_space_group_IT_number 65
_space_group_name_Hall '-C 2 2'
_cell_length_a 3.4747
_cell_length_b 6.3192
_cell_length_c 7.9266
_cell_angle_alpha 90.00
_cell_angle_beta 90.00
_cell_angle_gamma 90.00
loop_
_atom_site_label
_atom_site_fract_x
_atom_site_fract_y
_atom_site_fract_z
_atom_site_occupancy
Tl1 0.0000 0.0000 0.0000 1
Cu1 0.0000 0.5000 0.2601 1
Br1 0.0000 0.0000 0.5000 1
```

A plane-wave DFT calculation with PBE-GGA was carried out for a relaxed ThScCuHg crystal.

Summary:
- M_tot (μB per formula unit) = 0.68
- formation energy from the elements (eV per formula unit) = -0.586
- raw total energy (eV/atom) = -4.68

CIF file:
```
data_ThScCuHg
_chemical_formula_sum 'Th4 Sc4 Cu4 Hg4'
_space_group_name_H-M_alt 'F -4 3 m'
_space_group_IT_number 216
_space_group_name_Hall 'F -4 2 3'
_cell_length_a 7.2039
_cell_length_b 7.2039
_cell_length_c 7.2039
_cell_angle_alpha 90.00
_cell_angle_beta 90.00
_cell_angle_gamma 90.00
loop_
_atom_site_label
_atom_site_fract_x
_atom_site_fract_y
_atom_site_fract_z
_atom_site_occupancy
Th1 0.0000 0.0000 0.0000 1
Sc1 0.0000 0.0000 0.5000 1
Cu1 0.2500 0.2500 0.7500 1
Hg1 0.2500 0.2500 0.2500 1
```

What did the second record say?
A plane-wave DFT calculation with PBE-GGA was carried out for a relaxed ThScCuHg crystal.

Summary:
- M_tot (μB per formula unit) = 0.68
- formation energy from the elements (eV per formula unit) = -0.586
- raw total energy (eV/atom) = -4.68

CIF file:
```
data_ThScCuHg
_chemical_formula_sum 'Th4 Sc4 Cu4 Hg4'
_space_group_name_H-M_alt 'F -4 3 m'
_space_group_IT_number 216
_space_group_name_Hall 'F -4 2 3'
_cell_length_a 7.2039
_cell_length_b 7.2039
_cell_length_c 7.2039
_cell_angle_alpha 90.00
_cell_angle_beta 90.00
_cell_angle_gamma 90.00
loop_
_atom_site_label
_atom_site_fract_x
_atom_site_fract_y
_atom_site_fract_z
_atom_site_occupancy
Th1 0.0000 0.0000 0.0000 1
Sc1 0.0000 0.0000 0.5000 1
Cu1 0.2500 0.2500 0.7500 1
Hg1 0.2500 0.2500 0.2500 1
```